[1]
# CdHOF (GGA-PBE, optimized geometry)
data_CdHOF
_cell_length_a 6.201
_cell_length_b 3.529
_cell_length_c 4.920
_cell_angle_alpha 90.00
_cell_angle_beta 100.98
_cell_angle_gamma 90.00
_symmetry_space_group_name_H-M 'C 1 m 1'
_symmetry_Int_Tables_number 8
loop_
_symmetry_equiv_pos_as_xyz
'x,y,z'
'x,-y,z'
'x+1/2,y+1/2,z'
'x+1/2,-y+1/2,z'
loop_
_atom_site_label
_atom_site_type_symbol
_atom_site_fract_x
_atom_site_fract_y
_atom_site_fract_z
Cd1 Cd 0.000 0.000 0.000
H1 H 0.223 0.500 0.397
O1 O 0.197 0.500 0.195
F1 F 0.293 0.000 0.746
# Crystal system: monoclinic
# DFT total energy in eV/f.u.: -17.05
# Energy above the lowest structure with this stoichiometry in meV/atom: 44
# Density in Mg/m³: 4.66

---

[2]
# ZrCd2H12O6F8 (GGA-PBE, optimized geometry)
data_ZrCd2H12O6F8
_cell_length_a 11.668
_cell_length_b 8.379
_cell_length_c 12.630
_cell_angle_alpha 90.00
_cell_angle_beta 111.06
_cell_angle_gamma 90.00
_symmetry_space_group_name_H-M 'C 1 2/c 1'
_symmetry_Int_Tables_number 15
loop_
_symmetry_equiv_pos_as_xyz
'x,y,z'
'-x,-y,-z'
'-x,y,-z+1/2'
'x,-y,z+1/2'
'x+1/2,y+1/2,z'
'-x+1/2,-y+1/2,-z'
'-x+1/2,y+1/2,-z+1/2'
'x+1/2,-y+1/2,z+1/2'
loop_
_atom_site_label
_atom_site_type_symbol
_atom_site_fract_x
_atom_site_fract_y
_atom_site_fract_z
Zr1 Zr 0.000 0.234 0.250
Cd1 Cd 0.177 0.119 0.714
H1 H 0.051 0.318 0.530
H2 H 0.061 0.416 0.643
H3 H 0.101 0.255 0.886
H4 H 0.137 0.029 0.483
H5 H 0.223 0.416 0.448
H6 H 0.230 0.334 0.900
O1 O 0.037 0.311 0.604
O2 O 0.180 0.234 0.875
O3 O 0.207 0.021 0.557
F1 F 0.011 0.034 0.360
F2 F 0.094 0.319 0.420
F3 F 0.108 0.425 0.221
F4 F 0.184 0.146 0.285
# Crystal system: monoclinic
# DFT total energy in eV/f.u.: -146.59
# Density in Mg/m³: 3.32

---

[3]
# CdH2PbF8 (GGA-PBE, optimized geometry)
data_CdH2PbF8
_cell_length_a 4.686
_cell_length_b 5.045
_cell_length_c 7.159
_cell_angle_alpha 98.01
_cell_angle_beta 90.11
_cell_angle_gamma 104.50
_symmetry_space_group_name_H-M 'P -1'
_symmetry_Int_Tables_number 2
loop_
_symmetry_equiv_pos_as_xyz
'x,y,z'
'-x,-y,-z'
loop_
_atom_site_label
_atom_site_type_symbol
_atom_site_fract_x
_atom_site_fract_y
_atom_site_fract_z
Cd1 Cd 0.000 0.000 0.000
H1 H 0.275 0.538 0.855
Pb1 Pb 0.000 0.000 0.500
F1 F 0.206 0.211 0.278
F2 F 0.211 0.268 0.766
F3 F 0.285 0.756 0.494
F4 F 0.314 0.714 0.950
# Crystal system: triclinic
# DFT total energy in eV/f.u.: -48.27
# Density in Mg/m³: 4.85

---

[4]
# CdH2PbF (GGA-PBE, optimized geometry)
data_CdH2PbF
_cell_length_a 3.891
_cell_length_b 3.891
_cell_length_c 5.166
_cell_angle_alpha 90.00
_cell_angle_beta 90.00
_cell_angle_gamma 90.00
_symmetry_space_group_name_H-M 'P 4/m m m'
_symmetry_Int_Tables_number 123
_symmetry_space_group_name_Hall '-P 4 2'
loop_
_atom_site_label
_atom_site_type_symbol
_atom_site_fract_x
_atom_site_fract_y
_atom_site_fract_z
Cd1 Cd 0.000 0.000 0.000
H1 H 0.000 0.500 0.000
Pb1 Pb 0.500 0.500 0.500
F1 F 0.000 0.000 0.500
# Crystal system: tetragonal
# DFT total energy in eV/f.u.: -14.58
# Density in Mg/m³: 7.23

---

[5]
# CdH2PdF8 (GGA-PBE, optimized geometry)
data_CdH2PdF8
_cell_length_a 5.100
_cell_length_b 5.111
_cell_length_c 6.659
_cell_angle_alpha 87.38
_cell_angle_beta 87.56
_cell_angle_gamma 74.04
_symmetry_space_group_name_H-M 'P -1'
_symmetry_Int_Tables_number 2
loop_
_symmetry_equiv_pos_as_xyz
'x,y,z'
'-x,-y,-z'
loop_
_atom_site_label
_atom_site_type_symbol
_atom_site_fract_x
_atom_site_fract_y
_atom_site_fract_z
Cd1 Cd 0.000 0.000 0.000
H1 H 0.270 0.271 0.232
Pd1 Pd 0.000 0.000 0.500
F1 F 0.191 0.770 0.283
F2 F 0.231 0.810 0.718
F3 F 0.237 0.238 0.440
F4 F 0.272 0.273 0.079
# Crystal system: triclinic
# DFT total energy in eV/f.u.: -46.86
# Density in Mg/m³: 3.71

---

[6]
# CdHPt2F (GGA-PBE, optimized geometry)
data_CdHPt2F
_cell_length_a 5.181
_cell_length_b 5.181
_cell_length_c 4.190
_cell_angle_alpha 90.00
_cell_angle_beta 90.00
_cell_angle_gamma 90.00
_symmetry_space_group_name_H-M 'P 4/m m m'
_symmetry_Int_Tables_number 123
_symmetry_space_group_name_Hall '-P 4 2'
loop_
_atom_site_label
_atom_site_type_symbol
_atom_site_fract_x
_atom_site_fract_y
_atom_site_fract_z
Cd1 Cd 0.000 0.000 0.000
H1 H 0.500 0.500 0.500
Pt1 Pt 0.000 0.500 0.000
F1 F 0.000 0.000 0.500
# Crystal system: tetragonal
# DFT total energy in eV/f.u.: -12.46
# Density in Mg/m³: 7.71

---

| no. | V (A^3/atom) |
| --- | --- |
| 1 | 13.21 |
| 2 | 9.93 |
| 3 | 13.51 |
| 4 | 15.64 |
| 5 | 13.89 |
| 6 | 22.50 |